! ZrMnInSi2 (GGA-PBE, relaxed); values from VASP
&SYSTEM
  ibrav = 0, nat = 5, ntyp = 4
/
ATOMIC_SPECIES
Zr 91.22 Zr.upf
Mn 54.94 Mn.upf
In 114.82 In.upf
Si 28.09 Si.upf
CELL_PARAMETERS angstrom
5.053 0.000 0.000
0.000 5.053 0.000
0.000 0.000 5.512
ATOMIC_POSITIONS angstrom
Zr 0.000 0.000 0.000
Mn 2.526 2.526 2.756
In 0.000 0.000 2.756
Si 0.000 2.526 0.000
Si 2.526 0.000 0.000
! Energy = -26.3 eV per cell



! ZrMnIn2Si (GGA-PBE, relaxed); values from VASP
&SYSTEM
  ibrav = 0, nat = 5, ntyp = 4
/
ATOMIC_SPECIES
Zr 91.22 Zr.upf
Mn 54.94 Mn.upf
In 114.82 In.upf
Si 28.09 Si.upf
CELL_PARAMETERS angstrom
4.951 0.000 0.000
0.000 4.951 0.000
0.000 0.000 4.444
ATOMIC_POSITIONS angstrom
Zr 0.000 0.000 0.000
Mn 2.475 2.475 0.000
In 0.000 2.475 2.222
In 2.475 0.000 2.222
Si 2.475 2.475 2.222
! Energy = -25.3 eV per cell



In states/eV per atom, the density of states at the Fermi level values for the records above are, in order, 0.72 0.79.
In eV/atom, the energy relative to the elements, uncorrected values for the records above are, in order, 1.00 0.66.